First-principles (PBE with a Hubbard U) data for crystalline Li7Mn2Co3O12 at its relaxed geometry, as listed in Alexandria via LeMat-Bulk.

**Mass density**: 4.11 g/cm³
**Crystal system**: monoclinic
**E_tot**: -5.8651 eV per atom
**Space-group type**: No. 8
**V**: 213 Å³/f.u.

Lattice parameters (Å, degrees): 5.101 5.101 15.326 81.21 81.21 32.73
Fractional positions:
Li: 0.750 0.750 0.909
Li: 0.227 0.227 0.764
Li: 0.747 0.747 0.594
Li: 0.256 0.256 0.410
Li: 0.752 0.752 0.248
Li: 0.256 0.256 0.081
Li: 0.497 0.497 0.836
Mn: 0.004 0.004 0.996
Mn: 0.507 0.507 0.496
Co: 0.983 0.983 0.684
Co: 0.004 0.004 0.332
Co: 0.501 0.501 0.169
O: 0.115 0.115 0.889
O: 0.611 0.611 0.704
O: 0.120 0.120 0.528
O: 0.613 0.613 0.374
O: 0.115 0.115 0.216
O: 0.612 0.612 0.043
O: 0.390 0.390 0.965
O: 0.867 0.867 0.785
O: 0.395 0.395 0.609
O: 0.898 0.898 0.452
O: 0.393 0.393 0.295
O: 0.886 0.886 0.123